Computed, not measured: a geometry-optimized PmNbCo2O8 structure at the GGA+U level of DFT.

abc: 6.9747 6.9747 6.2777
angles: 90.00 90.00 90.00
Last column: nearest neighbours and their distance in Å.
Space group I-4m2 (No. 119)
Symmetry-distinct sites (fractional):
Pm 0.0000 0.0000 0.0000 (multiplicity 2)  8 O 2.35-2.45
Nb 0.0000 0.5000 0.7500 (multiplicity 2)  8 O 2.13-2.14
Co 0.0000 0.0000 0.5000 (multiplicity 2)  4 O 1.80
Co 0.0000 0.5000 0.2500 (multiplicity 2)  4 O 1.76
O 0.0000 0.2008 0.6802 (multiplicity 8)  1 Co 1.80
O 0.0000 0.3355 0.0381 (multiplicity 8)  1 Co 1.76

Computed properties:
DFT total energy = -7.10 eV/atom
M_tot = 12.0 Bohr magnetons per cell